# 1
A plane-wave DFT calculation with PBE-GGA was carried out for crystalline RbUI4 at its relaxed geometry.

Results
Final energy   -49.20 eV for the cell shown
Fermi-level density of states   3.4 states/eV per cell
Calculated density   4.34 g cm⁻³

Lattice parameters (Å, degrees): 14.886 4.741 9.283 90.00 104.09 90.00
Space group C2/m (No. 12)
Symmetry-distinct sites (fractional):
Rb: 0.000 0.000 0.000
U: 0.000 0.500 0.500
I: 0.120 0.000 0.413
I: 0.125 0.500 0.819

=====

# 2
A plane-wave DFT calculation with PBE-GGA was carried out for crystalline NbHNO2 at its relaxed geometry.

Results
Final energy   -31.41 eV for the cell shown
Fermi-level density of states   1.0 states/eV per cell
Calculated density   6.15 g cm⁻³

Lattice parameters (Å, degrees): 3.224 3.224 3.633 90.00 90.00 90.00
Space group P4/mmm (No. 123)
Symmetry-distinct sites (fractional):
Nb: 0.000 0.000 0.000
H: 0.500 0.500 0.500
N: 0.500 0.500 0.000
O: 0.000 0.500 0.500

=====

# 3
A plane-wave DFT calculation with PBE-GGA was carried out for crystalline In3BrCl at its relaxed geometry.

Results
Final energy   -12.63 eV for the cell shown
Fermi-level density of states   1.8 states/eV per cell
Calculated density   3.80 g cm⁻³

Lattice parameters (Å, degrees): 5.857 5.857 5.857 90.00 90.00 90.00
Space group Pm-3m (No. 221)
Symmetry-distinct sites (fractional):
In: 0.000 0.000 0.500
Br: 0.500 0.500 0.500
Cl: 0.000 0.000 0.000

=====

# 4
A plane-wave DFT calculation with PBE-GGA was carried out for crystalline TeBrClO2 at its relaxed geometry.

Results
Final energy   -17.50 eV for the cell shown
Fermi-level density of states   2.5 states/eV per cell
Calculated density   4.47 g cm⁻³

Lattice parameters (Å, degrees): 4.022 4.022 6.309 90.00 90.00 90.00
Space group P4/mmm (No. 123)
Symmetry-distinct sites (fractional):
Te: 0.000 0.000 0.000
Br: 0.500 0.500 0.500
Cl: 0.000 0.000 0.500
O: 0.000 0.500 0.000

=====

Which formula does entry 1 have? RbUI4

=====

Which value of Fermi-level density of states does entry 1 give? 3.4 states/eV per cell

=====

What did the second record say?
A plane-wave DFT calculation with PBE-GGA was carried out for crystalline NbHNO2 at its relaxed geometry.

Results
Final energy   -31.41 eV for the cell shown
Fermi-level density of states   1.0 states/eV per cell
Calculated density   6.15 g cm⁻³

Lattice parameters (Å, degrees): 3.224 3.224 3.633 90.00 90.00 90.00
Space group P4/mmm (No. 123)
Symmetry-distinct sites (fractional):
Nb: 0.000 0.000 0.000
H: 0.500 0.500 0.500
N: 0.500 0.500 0.000
O: 0.000 0.500 0.500